Compound: Np2CoAs4Ir3
Source: Alexandria
Functional: PBE-GGA
Structure: optimized geometry

The space group is P-4m2 (No. 115) and the conventional cell measures 4.231, 4.231 and 9.990 Å, with angles of 90.00, 90.00 and 90.00 degrees. The distinct sites, in fractional coordinates, are Np at (0.000, 0.500, 0.245), Co at (0.500, 0.500, 0.000), As at (0.000, 0.000, 0.500), As at (0.000, 0.500, 0.870), As at (0.500, 0.500, 0.500), Ir at (0.000, 0.000, 0.000) and Ir at (0.000, 0.500, 0.627).

The value obtained for the density is 13.086 g cm⁻³. Its total energy is -8.19 eV per atom. As for the energy of formation from the pure elements: -374 meV per atom.